Record 1
Entry from Alexandria via LeMat-Bulk: an optimized crystal structure of DyPaV (PBE).

Computed properties:
For the total energy, the calculation gives -7.44 eV per atom. Its density is 10.5 g cm⁻³. The value obtained for the calculated volume is 23.4 Å³/atom. The value obtained for the energy of formation is 0.2961 eV/atom. The magnetization comes out at 0.00 μB per atom.

abc: 11.743 3.350 7.989
angles: 90.00 116.46 90.00
Space group C2/m (No. 12)
Inequivalent atoms, fractional coordinates:
Dy  0.101  0.000  0.381 [4 per cell]
Pa  0.135  0.500  0.009 [4 per cell]
V  0.168  0.500  0.734 [4 per cell]

=====

Record 2
Entry from Alexandria via LeMat-Bulk: an optimized crystal structure of Li3MoH (PBE).

Computed properties:
For the total energy, the calculation gives -3.35 eV per atom. Its density is 2.9 g cm⁻³. The energy above the most stable polymorph in this dataset is 0 meV per atom. The value obtained for the calculated volume is 13.3 Å³/atom. The magnetization comes out at 0.75 μB per atom.

abc: 4.048 4.048 4.048
angles: 90.00 90.00 90.00
Space group Pm-3m (No. 221)
Inequivalent atoms, fractional coordinates:
Li  0.000  0.000  0.500 [3 per cell]
Mo  0.500  0.500  0.500 [1 per cell]
H  0.000  0.000  0.000 [1 per cell]

=====

Record 3
Entry from Alexandria via LeMat-Bulk: an optimized crystal structure of Y5Cd (PBE).

Computed properties:
For the total energy, the calculation gives -5.62 eV per atom. Its density is 5.0 g cm⁻³. The energy above the most stable polymorph in this dataset is 13 meV per atom. The value obtained for the calculated volume is 30.7 Å³/atom. The value obtained for the energy of formation is -0.0842 eV/atom. The magnetization comes out at 0.00 μB per atom.

abc: 12.378 3.752 8.591
angles: 90.00 112.41 90.00
Space group Cm (No. 8)
Inequivalent atoms, fractional coordinates:
Y  0.000  0.000  0.000 [2 per cell]
Y  0.025  0.000  0.450 [2 per cell]
Y  0.170  0.500  0.806 [2 per cell]
Y  0.315  0.000  0.162 [2 per cell]
Y  0.340  0.000  0.612 [2 per cell]
Cd  0.170  0.500  0.306 [2 per cell]

=====

Question: What is the density in the third record?
Answer: 5.0 g cm⁻³

=====

Question: Which of these has the lowest density?
Answer: Li3MoH

=====

Copy entry 2 word for word.
Entry from Alexandria via LeMat-Bulk: an optimized crystal structure of Li3MoH (PBE).

Computed properties:
For the total energy, the calculation gives -3.35 eV per atom. Its density is 2.9 g cm⁻³. The energy above the most stable polymorph in this dataset is 0 meV per atom. The value obtained for the calculated volume is 13.3 Å³/atom. The magnetization comes out at 0.75 μB per atom.

abc: 4.048 4.048 4.048
angles: 90.00 90.00 90.00
Space group Pm-3m (No. 221)
Inequivalent atoms, fractional coordinates:
Li  0.000  0.000  0.500 [3 per cell]
Mo  0.500  0.500  0.500 [1 per cell]
H  0.000  0.000  0.000 [1 per cell]

=====

Question: density of number 2 (Li3MoH)?
Answer: 2.9 g cm⁻³